1.
DFT (GGA-PBE) results for a relaxed ScZnGeRh crystal.

Values from the calculation:
- VASP energy: -5.489 eV per atom
- ΔH_f (0 K): -0.596 eV/atom

Unit cell a=4.463 b=4.463 c=4.463 alpha=60.00 beta=60.00 gamma=60.00
Sites, in units of the cell vectors:
Sc 0.500 0.500 0.500
Ge 0.250 0.250 0.250
Rh 0.000 0.000 0.000
Zn 0.750 0.750 0.750

***

2.
DFT (GGA-PBE) results for a relaxed ZrSc2Ge2Rh5 crystal.

Values from the calculation:
- VASP energy: -7.564 eV per atom
- ΔH_f (0 K): -0.844 eV/atom

Unit cell a=3.654 b=9.542 c=9.542 alpha=90.00 beta=90.00 gamma=90.00
Sites, in units of the cell vectors:
Zr 0.000 0.000 0.000
Zr 0.000 0.500 0.500
Sc 0.000 0.671 0.171
Sc 0.000 0.329 0.829
Sc 0.000 0.171 0.329
Sc 0.000 0.829 0.671
Ge 0.000 0.127 0.627
Ge 0.000 0.873 0.373
Ge 0.000 0.627 0.873
Ge 0.000 0.373 0.127
Rh 0.500 0.208 0.070
Rh 0.500 0.792 0.930
Rh 0.500 0.070 0.792
Rh 0.500 0.708 0.430
Rh 0.500 0.930 0.208
Rh 0.500 0.292 0.570
Rh 0.500 0.570 0.708
Rh 0.500 0.430 0.292
Rh 0.500 0.500 0.000
Rh 0.500 0.000 0.500

***

3.
DFT (GGA-PBE) results for a relaxed Ge2RhSe2 crystal.

Values from the calculation:
- VASP energy: -4.795 eV per atom
- Formation energy (no corrections): -0.084 eV per atom

Unit cell a=4.227 b=4.227 c=12.142 alpha=100.03 beta=100.03 gamma=90.00
Sites, in units of the cell vectors:
Ge 0.934 0.434 0.867
Ge 0.684 0.684 0.367
Ge 0.316 0.316 0.633
Ge 0.566 0.066 0.133
Rh 0.500 0.500 0.000
Rh 0.750 0.250 0.500
Se 0.810 0.810 0.621
Se 0.060 0.560 0.121
Se 0.440 0.940 0.879
Se 0.190 0.190 0.379

***

4.
DFT (GGA-PBE) results for a relaxed Ge2RhSe crystal.

Values from the calculation:
- VASP energy: -5.081 eV per atom
- Formation energy (no corrections): -0.063 eV per atom

Unit cell a=5.829 b=5.829 c=6.994 alpha=65.37 beta=65.37 gamma=90.00
Sites, in units of the cell vectors:
Ge 0.666 0.125 0.250
Ge 0.084 0.625 0.250
Ge 0.375 0.334 0.750
Ge 0.875 0.916 0.750
Rh 0.000 0.000 0.000
Rh 0.750 0.250 0.500
Se 0.500 0.500 0.000
Se 0.250 0.750 0.500

***

5.
DFT (GGA-PBE) results for a relaxed Ge2Te2RhSe2 crystal.

Values from the calculation:
- VASP energy: -4.518 eV per atom
- Formation energy (no corrections): -0.255 eV per atom

Unit cell a=3.851 b=6.051 c=8.840 alpha=67.01 beta=90.15 gamma=71.47
Sites, in units of the cell vectors:
Ge 0.770 0.461 0.811
Ge 0.230 0.539 0.189
Te 0.534 0.930 0.817
Te 0.466 0.070 0.183
Rh 0.000 0.000 0.000
Se 0.809 0.384 0.387
Se 0.191 0.616 0.613

***

6.
DFT (GGA-PBE) results for a relaxed Th6GeRh2Se3 crystal.

Values from the calculation:
- VASP energy: -7.383 eV per atom
- Formation energy (no corrections): -1.192 eV per atom

Unit cell a=7.272 b=7.272 c=7.451 alpha=99.49 beta=99.49 gamma=119.83
Sites, in units of the cell vectors:
Th 0.922 0.577 0.768
Th 0.730 0.730 0.227
Th 0.078 0.423 0.232
Th 0.577 0.922 0.768
Th 0.270 0.270 0.773
Th 0.423 0.078 0.232
Ge 0.000 0.000 0.000
Rh 0.332 0.668 0.000
Rh 0.668 0.332 0.000
Se 0.158 0.842 0.500
Se 0.842 0.158 0.500
Se 0.500 0.500 0.500